[1]
La6Nd2DyY PBE optimized geometry; energy relative to the elements = 0.112 eV/atom; E = -98.103 eV/cell; density of states at the Fermi level = 24.598 states/eV/cell
1.0
-4.313 7.906 -2.424
-6.014 -4.720 -5.037
-2.549 1.378 8.685
Nd La Dy Y
4 12 2 2
Direct
0.062 0.296 0.206
0.438 0.794 0.704
0.562 0.206 0.296
0.938 0.704 0.794
0.910 0.275 0.576
0.180 0.526 0.964
0.597 0.781 0.070
0.320 0.036 0.474
0.903 0.930 0.219
0.097 0.070 0.781
0.410 0.576 0.275
0.680 0.964 0.526
0.820 0.474 0.036
0.090 0.725 0.424
0.403 0.219 0.930
0.590 0.424 0.725
0.750 0.565 0.435
0.250 0.435 0.565
0.750 0.072 0.928
0.250 0.928 0.072


[2]
LaAlCuBi2 PBE optimized geometry; energy relative to the elements = 0.122 eV/atom; E = -19.917 eV/cell; density of states at the Fermi level = 3.962 states/eV/cell
1.0
5.190 0.000 0.000
0.000 5.490 0.000
0.000 0.000 5.190
La Bi Cu Al
1 2 1 1
Direct
0.000 0.500 0.000
0.500 0.000 0.000
0.000 0.000 0.500
0.000 0.000 0.000
0.500 0.500 0.500


[3]
LaTmCrN3 PBE optimized geometry; E = -101.820 eV/cell; density of states at the Fermi level = 4.026 states/eV/cell
1.0
3.412 0.000 0.000
0.000 7.570 0.743
0.000 -2.117 6.984
N Cr Tm La
6 2 2 2
Direct
0.250 0.838 0.483
0.750 0.418 0.153
0.250 0.138 0.851
0.750 0.862 0.149
0.750 0.162 0.517
0.250 0.582 0.847
0.750 0.920 0.399
0.250 0.080 0.601
0.750 0.361 0.834
0.250 0.639 0.166
0.750 0.802 0.800
0.250 0.198 0.200


[4]
Cs2Na2Pb PBE optimized geometry; energy relative to the elements = 0.244 eV/atom; E = -13.669 eV/cell; energy above the most stable polymorph in this dataset = 1.56 eV per formula unit; density of states at the Fermi level = 11.502 states/eV/cell
1.0
11.505 0.000 0.000
0.000 11.505 0.000
0.000 0.000 4.002
Cs Na Pb
4 4 2
Direct
0.304 0.804 0.000
0.696 0.196 0.000
0.196 0.304 0.000
0.804 0.696 0.000
0.602 0.898 0.500
0.102 0.602 0.500
0.898 0.398 0.500
0.398 0.102 0.500
0.500 0.500 0.000
0.000 0.000 0.000


[5]
Li3HgGe2 PBE optimized geometry; energy relative to the elements = -0.261 eV/atom; E = -33.691 eV/cell; density of states at the Fermi level = 2.391 states/eV/cell
1.0
3.893 0.000 0.000
0.000 6.782 0.000
0.000 0.000 8.548
Ge Li Hg
4 6 2
Direct
0.500 0.033 0.446
0.500 0.533 0.554
0.000 0.464 0.735
0.000 0.964 0.265
0.500 0.197 0.142
0.000 0.338 0.398
0.500 0.697 0.858
0.500 0.679 0.266
0.500 0.179 0.734
0.000 0.838 0.602
0.000 0.490 0.073
0.000 0.990 0.927


[6]
Nd5Zn2Sn2 PBE optimized geometry; energy relative to the elements = -0.422 eV/atom; E = -76.389 eV/cell; density of states at the Fermi level = 22.545 states/eV/cell
1.0
-6.416 -3.989 2.897
2.206 -6.639 -4.254
3.319 0.766 8.406
Sn Nd Zn
4 10 4
Direct
0.500 0.709 0.418
0.000 0.791 0.582
0.500 0.291 0.582
0.000 0.209 0.418
0.674 0.040 0.724
0.674 0.316 0.276
0.826 0.540 0.724
0.500 0.500 0.000
0.000 0.000 0.000
0.174 0.460 0.276
0.326 0.684 0.724
0.326 0.960 0.276
0.826 0.816 0.276
0.174 0.184 0.724
0.882 0.385 0.000
0.118 0.615 0.000
0.382 0.115 0.000
0.618 0.885 0.000


[7]
PuBeNi PBE optimized geometry; energy relative to the elements = -0.017 eV/atom; E = -23.891 eV/cell; energy above the most stable polymorph in this dataset = 0.00 eV per formula unit; density of states at the Fermi level = 10.561 states/eV/cell
1.0
3.699 0.000 0.000
0.000 3.895 0.000
0.000 -1.948 3.373
Be Pu Ni
1 1 1
Direct
0.167 0.000 0.000
0.666 0.333 0.667
0.167 0.667 0.333


[8]
CdSnSb PBE optimized geometry; E = -17.616 eV/cell; density of states at the Fermi level = 2.460 states/eV/cell
1.0
4.267 0.000 0.739
2.070 3.732 0.739
0.071 0.042 12.273
Sb Sn Cd
2 2 2
Direct
0.411 0.411 0.768
0.239 0.239 0.282
0.034 0.034 0.897
0.949 0.949 0.153
0.847 0.847 0.458
0.133 0.133 0.600


[9]
NaZn2I2 PBE optimized geometry; E = -8.510 eV/cell; density of states at the Fermi level = 2.347 states/eV/cell
1.0
-1.655 1.975 2.848
-3.420 -0.418 -1.697
-3.981 -7.604 5.550
I Zn Na
2 2 1
Direct
0.601 0.601 0.797
0.399 0.399 0.203
0.750 0.250 0.500
0.250 0.750 0.500
0.000 0.000 0.000


[10]
Ce2MgAs3Ir4 PBE optimized geometry; energy relative to the elements = -0.748 eV/atom; E = -70.330 eV/cell; density of states at the Fermi level = 5.488 states/eV/cell
1.0
4.065 0.000 0.000
0.000 4.065 0.000
0.000 0.000 11.198
Ce As Ir Mg
2 3 4 1
Direct
0.000 0.500 0.758
0.500 0.000 0.242
0.500 0.000 0.870
0.000 0.500 0.130
0.000 0.000 0.500
0.500 0.000 0.655
0.000 0.000 0.000
0.000 0.500 0.345
0.500 0.500 0.000
0.500 0.500 0.500


[11]
NpCoC PBE optimized geometry; energy relative to the elements = 0.055 eV/atom; E = -58.213 eV/cell; energy above the most stable polymorph in this dataset = 0.00 eV per formula unit; density of states at the Fermi level = 11.114 states/eV/cell
1.0
-1.208 2.019 -2.814
-1.838 -3.975 -2.062
-3.322 -0.322 3.582
C Co Np
2 2 2
Direct
0.861 0.250 0.222
0.139 0.750 0.778
0.433 0.250 0.367
0.567 0.750 0.633
0.849 0.750 0.198
0.151 0.250 0.802


[12]
Ta2BeCl PBE optimized geometry; E = -28.873 eV/cell; energy above the most stable polymorph in this dataset = 0.00 eV per formula unit; density of states at the Fermi level = 2.066 states/eV/cell
1.0
-0.364 -2.305 -1.734
0.231 -1.194 2.641
-9.251 0.637 1.098
Be Cl Ta
1 1 2
Direct
0.000 0.000 0.427
0.500 0.500 0.812
0.500 0.500 0.250
0.000 0.000 0.010